No. 1
A relaxed Y2CrCd crystal, computed with GGA-PBE.

**Crystal system**: monoclinic
**Space-group type**: Cm, No. 8
**E_form**: 0.1591 eV/atom
**Final energy**: -0.419 Ry/atom

abc: 12.7856 12.7856 3.4144
angles: 97.64 97.64 21.68
Sites, in units of the cell vectors:
Y 0.0000 0.0000 0.0000
Y 0.2473 0.2473 0.7493
Y 0.5889 0.5889 0.5904
Y 0.8697 0.8697 0.8697
Cr 0.6943 0.6943 0.1964
Cr 0.7744 0.7744 0.2761
Cd 0.1340 0.1340 0.1356
Cd 0.4416 0.4416 0.4412

---

No. 2
A relaxed Mo2RuPt crystal, computed with GGA-PBE.

**Crystal system**: tetragonal
**Space-group type**: I4/mmm, No. 139
**E_form**: -0.1972 eV/atom
**Final energy**: -0.694 Ry/atom

abc: 4.8151 4.8151 4.8151
angles: 132.00 132.00 70.23
Sites, in units of the cell vectors:
Mo 0.2500 0.7500 0.5000
Mo 0.7500 0.2500 0.5000
Ru 0.0000 0.0000 0.0000
Pt 0.5000 0.5000 0.0000

---

No. 3
A relaxed NbSnS crystal, computed with GGA-PBE.

**Crystal system**: orthorhombic
**Space-group type**: Fmmm, No. 69
**Final energy**: -0.474 Ry/atom
**Formation energy without anion corrections**: -1.13 eV/f.u.

abc: 6.6431 5.9570 4.9656
angles: 74.30 59.68 46.02
Sites, in units of the cell vectors:
Nb 0.2500 0.2500 0.2500
Nb 0.7500 0.7500 0.7500
Sn 0.1709 0.8291 0.1709
Sn 0.8291 0.1709 0.8291
S 0.3269 0.3269 0.6731
S 0.6731 0.6731 0.3269

---

No. 4
A relaxed LiEuCdRh crystal, computed with GGA-PBE.

**Crystal system**: cubic
**Space-group type**: F-43m, No. 216
**E_form**: -0.2714 eV/atom
**Final energy**: -0.396 Ry/atom

abc: 4.8582 4.8582 4.8582
angles: 60.00 60.00 60.00
Sites, in units of the cell vectors:
Li 0.0000 0.0000 0.0000
Eu 0.7500 0.7500 0.7500
Cd 0.2500 0.2500 0.2500
Rh 0.5000 0.5000 0.5000

---

No. 5
A relaxed CdSi2Br crystal, computed with GGA-PBE.

**Crystal system**: orthorhombic
**Space-group type**: Cmmm, No. 65
**Final energy**: -0.203 Ry/atom
**Formation energy without anion corrections**: 2.37 eV/f.u.

abc: 3.2712 3.2712 8.8639
angles: 90.00 90.00 116.47
Sites, in units of the cell vectors:
Cd 0.0000 0.0000 0.0000
Si 0.5000 0.5000 0.2502
Si 0.5000 0.5000 0.7498
Br 0.0000 0.0000 0.5000

---

No. 6
A relaxed Li5Hg3I12 crystal, computed with GGA-PBE.

**Crystal system**: cubic
**Space-group type**: Ia-3d, No. 230
**Final energy**: -0.150 Ry/atom
**Formation energy without anion corrections**: -11.73 eV/f.u.

abc: 16.1143 16.1143 16.1143
angles: 109.47 109.47 109.47
Sites, in units of the cell vectors:
Li 0.0000 0.0000 0.0000
Li 0.0000 0.0000 0.5000
Li 0.0000 0.5000 0.0000
Li 0.0000 0.5000 0.5000
Li 0.1250 0.7500 0.8750
Li 0.1250 0.8750 0.2500
Li 0.2500 0.1250 0.8750
Li 0.2500 0.6250 0.3750
Li 0.3750 0.2500 0.6250
Li 0.3750 0.6250 0.7500
Li 0.5000 0.0000 0.0000
Li 0.5000 0.0000 0.5000
Li 0.5000 0.5000 0.0000
Li 0.5000 0.5000 0.5000
Li 0.6250 0.3750 0.2500
Li 0.6250 0.7500 0.3750
Li 0.7500 0.3750 0.6250
Li 0.7500 0.8750 0.1250
Li 0.8750 0.1250 0.7500
Li 0.8750 0.2500 0.1250
Hg 0.1250 0.2500 0.3750
Hg 0.1250 0.3750 0.7500
Hg 0.2500 0.3750 0.1250
Hg 0.2500 0.8750 0.6250
Hg 0.3750 0.1250 0.2500
Hg 0.3750 0.7500 0.1250
Hg 0.6250 0.2500 0.8750
Hg 0.6250 0.8750 0.7500
Hg 0.7500 0.1250 0.3750
Hg 0.7500 0.6250 0.8750
Hg 0.8750 0.6250 0.2500
Hg 0.8750 0.7500 0.6250
I 0.0219 0.6469 0.1818
I 0.0219 0.8751 0.8401
I 0.0349 0.1599 0.6818
I 0.0349 0.3751 0.3531
I 0.1249 0.1599 0.9781
I 0.1249 0.4651 0.1469
I 0.1469 0.1249 0.4651
I 0.1469 0.5219 0.6818
I 0.1599 0.6818 0.0349
I 0.1599 0.9781 0.1249
I 0.1818 0.0219 0.6469
I 0.1818 0.6599 0.5349
I 0.3182 0.8531 0.4781
I 0.3182 0.9651 0.8401
I 0.3401 0.3751 0.5219
I 0.3401 0.4651 0.8182
I 0.3531 0.0349 0.3751
I 0.3531 0.8182 0.9781
I 0.3751 0.3531 0.0349
I 0.3751 0.5219 0.3401
I 0.4651 0.1469 0.1249
I 0.4651 0.8182 0.3401
I 0.4781 0.3182 0.8531
I 0.4781 0.6599 0.6249
I 0.5219 0.3401 0.3751
I 0.5219 0.6818 0.1469
I 0.5349 0.1818 0.6599
I 0.5349 0.8531 0.8751
I 0.6249 0.4781 0.6599
I 0.6249 0.6469 0.9651
I 0.6469 0.1818 0.0219
I 0.6469 0.9651 0.6249
I 0.6599 0.5349 0.1818
I 0.6599 0.6249 0.4781
I 0.6818 0.0349 0.1599
I 0.6818 0.1469 0.5219
I 0.8182 0.3401 0.4651
I 0.8182 0.9781 0.3531
I 0.8401 0.0219 0.8751
I 0.8401 0.3182 0.9651
I 0.8531 0.4781 0.3182
I 0.8531 0.8751 0.5349
I 0.8751 0.5349 0.8531
I 0.8751 0.8401 0.0219
I 0.9651 0.6249 0.6469
I 0.9651 0.8401 0.3182
I 0.9781 0.1249 0.1599
I 0.9781 0.3531 0.8182

---

No. 7
A relaxed MnAlTc2 crystal, computed with GGA-PBE.

**Crystal system**: tetragonal
**Space-group type**: P4/mmm, No. 123
**E_form**: -0.1688 eV/atom
**Final energy**: -0.631 Ry/atom

abc: 2.9246 2.9246 6.3714
angles: 90.00 90.00 90.00
Sites, in units of the cell vectors:
Mn 0.0000 0.0000 0.0000
Al 0.0000 0.0000 0.5000
Tc 0.5000 0.5000 0.2397
Tc 0.5000 0.5000 0.7603

---

No. 8
A relaxed Y2SiNi crystal, computed with GGA-PBE.

**Crystal system**: trigonal
**Space-group type**: R3m, No. 160
**Final energy**: -0.487 Ry/atom
**Formation energy without anion corrections**: -2.36 eV/f.u.

abc: 7.3518 7.3518 7.3518
angles: 31.33 31.33 31.33
Sites, in units of the cell vectors:
Y 0.0000 0.0000 0.0000
Y 0.1803 0.1803 0.1803
Si 0.4203 0.4203 0.4203
Ni 0.7627 0.7627 0.7627

---

No. 9
A relaxed NdTlHg2 crystal, computed with GGA-PBE.

**Crystal system**: tetragonal
**Space-group type**: P4/mmm, No. 123
**E_form**: -0.3377 eV/atom
**Final energy**: -0.167 Ry/atom

abc: 4.8595 4.8595 4.5113
angles: 90.00 90.00 90.00
Sites, in units of the cell vectors:
Nd 0.0000 0.0000 0.0000
Tl 0.5000 0.5000 0.0000
Hg 0.0000 0.5000 0.5000
Hg 0.5000 0.0000 0.5000

---

No. 10
A relaxed ReSb2AsSe crystal, computed with GGA-PBE.

**Crystal system**: tetragonal
**Space-group type**: P4/mmm, No. 123
**Final energy**: -0.377 Ry/atom
**Formation energy without anion corrections**: 3.19 eV/f.u.

abc: 5.3101 5.3101 4.5949
angles: 90.00 90.00 90.00
Sites, in units of the cell vectors:
Re 0.0000 0.0000 0.0000
Sb 0.0000 0.5000 0.0000
Sb 0.5000 0.0000 0.0000
As 0.5000 0.5000 0.5000
Se 0.0000 0.0000 0.5000

---

No. 11
A relaxed CsScBe2Ir crystal, computed with GGA-PBE.

**Crystal system**: tetragonal
**Space-group type**: P4/mmm, No. 123
**E_form**: 2.1930 eV/atom
**Final energy**: -0.184 Ry/atom

abc: 4.7688 4.7688 5.1203
angles: 90.00 90.00 90.00
Sites, in units of the cell vectors:
Cs 0.0000 0.0000 0.0000
Sc 0.5000 0.5000 0.5000
Be 0.0000 0.5000 0.0000
Be 0.5000 0.0000 0.0000
Ir 0.0000 0.0000 0.5000

---

What did the ninth record say?
A relaxed NdTlHg2 crystal, computed with GGA-PBE.

**Crystal system**: tetragonal
**Space-group type**: P4/mmm, No. 123
**E_form**: -0.3377 eV/atom
**Final energy**: -0.167 Ry/atom

abc: 4.8595 4.8595 4.5113
angles: 90.00 90.00 90.00
Sites, in units of the cell vectors:
Nd 0.0000 0.0000 0.0000
Tl 0.5000 0.5000 0.0000
Hg 0.0000 0.5000 0.5000
Hg 0.5000 0.0000 0.5000

---

- Among the records above, which one has the lowest final energy?
  Mo2RuPt